Record 1
Below is a relaxed BeNiCl crystal, with properties calculated at the PBE level.

a b c (Å): 3.2373 3.0351 9.1743
angles (deg): 90.00 90.49 90.00
Atoms (fractional coordinates):
Be1 0.0000 0.0000 0.0000
Be2 0.4929 0.5000 0.6692
Ni1 0.0213 0.0000 0.7666
Ni2 0.5240 0.5000 0.9029
Cl1 0.3836 0.0000 0.5222
Cl2 0.8872 0.5000 0.1466

The crystal system is monoclinic. Its space group is No. 6. Its relative energy among the computed polymorphs is 0.015 eV/atom. Its density of states at the Fermi level is 0.27 states/eV per atom. The calculation puts the magnetization at 0.00 μB/f.u. The total energy is -4.1909 eV/atom.


Record 2
Below is a relaxed LiPmGdSi crystal, with properties calculated at the PBE level.

a b c (Å): 7.1582 7.1582 7.1582
angles (deg): 90.00 90.00 90.00
Atoms (fractional coordinates):
Li1 0.0000 0.0000 0.0000
Li2 0.0000 0.5000 0.5000
Li3 0.5000 0.0000 0.5000
Li4 0.5000 0.5000 0.0000
Pm1 0.2500 0.2500 0.2500
Pm2 0.2500 0.7500 0.7500
Pm3 0.7500 0.2500 0.7500
Pm4 0.7500 0.7500 0.2500
Gd1 0.2500 0.2500 0.7500
Gd2 0.2500 0.7500 0.2500
Gd3 0.7500 0.2500 0.2500
Gd4 0.7500 0.7500 0.7500
Si1 0.0000 0.0000 0.5000
Si2 0.0000 0.5000 0.0000
Si3 0.5000 0.0000 0.0000
Si4 0.5000 0.5000 0.5000

The crystal system is cubic. Its space group is No. 216. Its density of states at the Fermi level is 0.90 states/eV per atom. The calculation puts the magnetization at 7.34 μB/f.u. The total energy is -6.8946 eV/atom.


Record 3
Below is a relaxed PrSmCuPd crystal, with properties calculated at the PBE level.

a b c (Å): 7.2162 7.2162 7.2162
angles (deg): 90.00 90.00 90.00
Atoms (fractional coordinates):
Pr1 0.0000 0.0000 0.0000
Pr2 0.0000 0.5000 0.5000
Pr3 0.5000 0.0000 0.5000
Pr4 0.5000 0.5000 0.0000
Sm1 0.0000 0.0000 0.5000
Sm2 0.0000 0.5000 0.0000
Sm3 0.5000 0.0000 0.0000
Sm4 0.5000 0.5000 0.5000
Cu1 0.2500 0.2500 0.2500
Cu2 0.2500 0.7500 0.7500
Cu3 0.7500 0.2500 0.7500
Cu4 0.7500 0.7500 0.2500
Pd1 0.2500 0.2500 0.7500
Pd2 0.2500 0.7500 0.2500
Pd3 0.7500 0.2500 0.2500
Pd4 0.7500 0.7500 0.7500

The crystal system is cubic. Its space group is No. 216. Its relative energy among the computed polymorphs is 0.053 eV/atom. Its density of states at the Fermi level is 0.74 states/eV per atom. For the formation energy, the calculation gives -0.4444 eV/atom. The calculation puts the magnetization at 0.00 μB/f.u. The total energy is -5.1413 eV/atom.


Record 4
Below is a relaxed Ac5OsRh crystal, with properties calculated at the PBE level.

a b c (Å): 7.2694 7.2694 11.3017
angles (deg): 106.35 106.35 80.00
Atoms (fractional coordinates):
Ac1 0.0686 0.7261 0.3509
Ac2 0.2502 0.7498 0.7500
Ac3 0.2709 0.3640 0.9928
Ac4 0.2739 0.9314 0.1491
Ac5 0.3640 0.2709 0.4928
Ac6 0.6360 0.7291 0.5072
Ac7 0.7261 0.0686 0.8509
Ac8 0.7291 0.6360 0.0072
Ac9 0.7498 0.2502 0.2500
Ac10 0.9314 0.2739 0.6491
Os1 0.0000 0.5000 0.5000
Os2 0.5000 0.0000 0.0000
Rh1 0.4264 0.5736 0.2500
Rh2 0.5736 0.4264 0.7500

The crystal system is monoclinic. Its space group is No. 15. Its density of states at the Fermi level is 0.89 states/eV per atom. For the formation energy, the calculation gives -0.1270 eV/atom. The calculation puts the magnetization at 0.00 μB/f.u. The total energy is -5.7161 eV/atom.


Record 5
Below is a relaxed BeZn2Ga crystal, with properties calculated at the PBE level.

a b c (Å): 2.5935 2.5935 32.4373
angles (deg): 90.00 90.00 120.00
Atoms (fractional coordinates):
Be1 0.0000 0.0000 0.0000
Be2 0.3333 0.6667 0.6667
Be3 0.6667 0.3333 0.3333
Zn1 0.0000 0.0000 0.0818
Zn2 0.0000 0.0000 0.9182
Zn3 0.3333 0.6667 0.5849
Zn4 0.3333 0.6667 0.7485
Zn5 0.6667 0.3333 0.2515
Zn6 0.6667 0.3333 0.4151
Ga1 0.0000 0.0000 0.5000
Ga2 0.3333 0.6667 0.1667
Ga3 0.6667 0.3333 0.8333

The crystal system is trigonal. Its space group is No. 166. Its density of states at the Fermi level is 0.52 states/eV per atom. For the formation energy, the calculation gives 0.3747 eV/atom. The calculation puts the magnetization at 0.00 μB/f.u. The total energy is -1.9506 eV/atom.


Record 6
Below is a relaxed NaDy2Cd crystal, with properties calculated at the PBE level.

a b c (Å): 3.4647 3.4647 36.3487
angles (deg): 90.00 90.00 120.00
Atoms (fractional coordinates):
Na1 0.0000 0.0000 0.0000
Na2 0.3333 0.6667 0.6667
Na3 0.6667 0.3333 0.3333
Dy1 0.0000 0.0000 0.0972
Dy2 0.0000 0.0000 0.9028
Dy3 0.3333 0.6667 0.5695
Dy4 0.3333 0.6667 0.7638
Dy5 0.6667 0.3333 0.2362
Dy6 0.6667 0.3333 0.4305
Cd1 0.0000 0.0000 0.5000
Cd2 0.3333 0.6667 0.1667
Cd3 0.6667 0.3333 0.8333

The crystal system is trigonal. Its space group is No. 166. Its relative energy among the computed polymorphs is 0.075 eV/atom. Its density of states at the Fermi level is 1.04 states/eV per atom. For the formation energy, the calculation gives 0.1103 eV/atom. The calculation puts the magnetization at 0.00 μB/f.u. The total energy is -2.7493 eV/atom.


Record 7
Below is a relaxed Tb2PrTm crystal, with properties calculated at the PBE level.

a b c (Å): 3.5791 3.5791 10.1518
angles (deg): 90.00 90.00 90.00
Atoms (fractional coordinates):
Tb1 0.0000 0.0000 0.2426
Tb2 0.0000 0.0000 0.7574
Pr1 0.5000 0.5000 0.5000
Tm1 0.5000 0.5000 0.0000

The crystal system is tetragonal. Its space group is No. 123. Its relative energy among the computed polymorphs is 0.004 eV/atom. Its density of states at the Fermi level is 1.35 states/eV per atom. For the formation energy, the calculation gives 0.0256 eV/atom. The calculation puts the magnetization at 0.00 μB/f.u. The total energy is -4.6023 eV/atom.


Record 8
Below is a relaxed V2AsH crystal, with properties calculated at the PBE level.

a b c (Å): 5.1019 3.3324 10.7507
angles (deg): 90.00 90.00 90.00
Atoms (fractional coordinates):
V1 0.0318 0.2500 0.2379
V2 0.2062 0.2500 0.9488
V3 0.2938 0.7500 0.4488
V4 0.4682 0.7500 0.7379
V5 0.5318 0.2500 0.2621
V6 0.7062 0.2500 0.5512
V7 0.7938 0.7500 0.0512
V8 0.9682 0.7500 0.7621
As1 0.2029 0.2500 0.6205
As2 0.2971 0.7500 0.1205
As3 0.7029 0.2500 0.8795
As4 0.7971 0.7500 0.3795
H1 0.2392 0.7500 0.8671
H2 0.2608 0.2500 0.3671
H3 0.7392 0.7500 0.6329
H4 0.7608 0.2500 0.1329

The crystal system is orthorhombic. Its space group is No. 62. Its relative energy among the computed polymorphs is 0.000 eV/atom. Its density of states at the Fermi level is 0.93 states/eV per atom. The calculation puts the magnetization at 0.00 μB/f.u. The total energy is -6.8511 eV/atom.


Record 9
Below is a relaxed GeS3O crystal, with properties calculated at the PBE level.

a b c (Å): 4.3128 4.3128 4.3128
angles (deg): 90.00 90.00 90.00
Atoms (fractional coordinates):
Ge1 0.0000 0.0000 0.0000
S1 0.0000 0.5000 0.5000
S2 0.5000 0.0000 0.5000
S3 0.5000 0.5000 0.0000
O1 0.5000 0.5000 0.5000

The crystal system is cubic. Its space group is No. 221. Its relative energy among the computed polymorphs is 0.000 eV/atom. Its density of states at the Fermi level is 0.58 states/eV per atom. The calculation puts the magnetization at 0.00 μB/f.u. The total energy is -3.7282 eV/atom.


Record 10
Below is a relaxed V2GeBr6 crystal, with properties calculated at the PBE level.

a b c (Å): 7.5855 7.5855 10.0476
angles (deg): 109.40 109.40 29.80
Atoms (fractional coordinates):
V1 0.1685 0.1685 0.3373
V2 0.8315 0.8315 0.6627
Ge1 0.5000 0.5000 0.0000
Br1 0.1476 0.1476 0.0646
Br2 0.2012 0.2012 0.6125
Br3 0.4617 0.4617 0.7041
Br4 0.5383 0.5383 0.2959
Br5 0.7988 0.7988 0.3875
Br6 0.8524 0.8524 0.9354

The crystal system is monoclinic. Its space group is No. 12. Its relative energy among the computed polymorphs is 0.000 eV/atom. The calculation puts the magnetization at 6.00 μB/f.u. The total energy is -4.3712 eV/atom.


Record 11
Below is a relaxed Dy2ZnBPt6 crystal, with properties calculated at the PBE level.

a b c (Å): 7.3320 7.3320 7.3320
angles (deg): 44.92 44.92 44.92
Atoms (fractional coordinates):
Dy1 0.2089 0.2089 0.2089
Dy2 0.7911 0.7911 0.7911
Zn1 0.5000 0.5000 0.5000
B1 0.0000 0.0000 0.0000
Pt1 0.2366 0.2366 0.7251
Pt2 0.2366 0.7251 0.2366
Pt3 0.2749 0.7634 0.7634
Pt4 0.7251 0.2366 0.2366
Pt5 0.7634 0.2749 0.7634
Pt6 0.7634 0.7634 0.2749

The crystal system is trigonal. Its space group is No. 166. Its density of states at the Fermi level is 0.23 states/eV per atom. For the formation energy, the calculation gives -0.8877 eV/atom. The calculation puts the magnetization at 0.00 μB/f.u. The total energy is -6.2278 eV/atom.


Record 12
Below is a relaxed Mn2SiC2 crystal, with properties calculated at the PBE level.

a b c (Å): 2.7547 2.7547 11.5025
angles (deg): 90.00 90.00 90.00
Atoms (fractional coordinates):
Mn1 0.0000 0.0000 0.1252
Mn2 0.0000 0.0000 0.8748
Mn3 0.5000 0.5000 0.3748
Mn4 0.5000 0.5000 0.6252
Si1 0.0000 0.0000 0.5000
Si2 0.5000 0.5000 0.0000
C1 0.0000 0.5000 0.2500
C2 0.0000 0.5000 0.7500
C3 0.5000 0.0000 0.2500
C4 0.5000 0.0000 0.7500

The crystal system is tetragonal. Its space group is No. 139. Its relative energy among the computed polymorphs is 0.000 eV/atom. Its density of states at the Fermi level is 0.09 states/eV per atom. The calculation puts the magnetization at 0.00 μB/f.u. The total energy is -8.1293 eV/atom.